(A)
Compound: Mg2Tl2Sb
Source: Alexandria
Functional: PBE
Structure: relaxed

abc: 8.6265 8.6265 3.5062
angles: 90.00 90.00 90.00
Atoms (fractional coordinates):
Mg1 0.3436 0.1564 0.5000
Mg2 0.8436 0.3436 0.5000
Mg3 0.6564 0.8436 0.5000
Mg4 0.1564 0.6564 0.5000
Tl1 0.1431 0.3569 0.0000
Tl2 0.3569 0.8569 0.0000
Tl3 0.6431 0.1431 0.0000
Tl4 0.8569 0.6431 0.0000
Sb1 0.5000 0.5000 0.0000
Sb2 0.0000 0.0000 0.0000

Computed properties:
Its symmetry is P4/mbm (127). The value obtained for the density of states at the Fermi level is 3.67 states/eV/cell.

***

(B)
Compound: Mg2Tl2Sb
Source: Alexandria
Functional: PBE
Structure: relaxed

abc: 7.5585 7.5585 4.8336
angles: 90.00 90.00 90.00
Atoms (fractional coordinates):
Tl1 0.1638 0.6638 0.5000
Tl2 0.3362 0.1638 0.5000
Tl3 0.8362 0.3362 0.5000
Tl4 0.6638 0.8362 0.5000
Mg1 0.6417 0.1417 0.0000
Mg2 0.3583 0.8583 0.0000
Mg3 0.1417 0.3583 0.0000
Mg4 0.8583 0.6417 0.0000
Sb1 0.5000 0.5000 0.0000
Sb2 0.0000 0.0000 0.0000

Computed properties:
Its symmetry is P4/mbm (127). The value obtained for the density of states at the Fermi level is 3.65 states/eV/cell.

***

Verdict on stability: (A) comes out at the bottom.

***

(A)
Compound: MgTl2Sb2
Source: Alexandria
Functional: PBE
Structure: relaxed

abc: 7.5137 7.5137 5.4853
angles: 90.00 90.00 90.00
Atoms (fractional coordinates):
Mg1 0.5000 0.5000 0.0000
Mg2 0.0000 0.0000 0.0000
Sb1 0.8649 0.6351 0.0000
Sb2 0.1351 0.3649 0.0000
Sb3 0.6351 0.1351 0.0000
Sb4 0.3649 0.8649 0.0000
Tl1 0.6727 0.8273 0.5000
Tl2 0.8273 0.3273 0.5000
Tl3 0.1727 0.6727 0.5000
Tl4 0.3273 0.1727 0.5000

Computed properties:
Its symmetry is P4/mbm (127). The value obtained for the density of states at the Fermi level is 2.37 states/eV/cell.

***

(B)
Compound: MgTl2Sb2
Source: Alexandria
Functional: PBE
Structure: relaxed

abc: 7.9669 7.9669 4.8591
angles: 90.00 90.00 90.00
Atoms (fractional coordinates):
Sb1 0.3726 0.1274 0.5000
Sb2 0.1274 0.6274 0.5000
Sb3 0.8726 0.3726 0.5000
Sb4 0.6274 0.8726 0.5000
Tl1 0.1626 0.3374 0.0000
Tl2 0.3374 0.8374 0.0000
Tl3 0.8374 0.6626 0.0000
Tl4 0.6626 0.1626 0.0000
Mg1 0.0000 0.0000 0.0000
Mg2 0.5000 0.5000 0.0000

Computed properties:
Its symmetry is P4/mbm (127). The value obtained for the density of states at the Fermi level is 5.64 states/eV/cell.

***

Verdict on stability: (B) comes out at the bottom.

***

(A)
Compound: TmMgSb2
Source: Alexandria
Functional: PBE
Structure: relaxed

abc: 4.4268 4.4268 7.1384
angles: 71.94 71.94 60.00
Atoms (fractional coordinates):
Tm1 0.6680 0.6680 0.9959
Mg1 0.4970 0.4970 0.5089
Sb1 0.0851 0.0851 0.7448
Sb2 0.2498 0.2498 0.2505

Computed properties:
Its symmetry is R3m (160). The value obtained for the density of states at the Fermi level is 1.47 states/eV/cell.

***

(B)
Compound: TmMgSb2
Source: Alexandria
Functional: PBE
Structure: relaxed

abc: 4.0778 4.9558 4.9558
angles: 90.00 90.00 90.00
Atoms (fractional coordinates):
Sb1 0.0000 0.5000 0.0000
Sb2 0.0000 0.0000 0.5000
Mg1 0.5000 0.0000 0.0000
Tm1 0.5000 0.5000 0.5000

Computed properties:
Its symmetry is P4/mmm (123). The value obtained for the density of states at the Fermi level is 2.14 states/eV/cell.

***

Verdict on stability: (B) comes out at the bottom.

***

(A)
Compound: TmMgSb2
Source: Alexandria
Functional: PBE
Structure: relaxed

abc: 4.3741 4.3724 21.3797
angles: 90.00 90.00 90.00
Atoms (fractional coordinates):
Mg1 0.2500 0.2567 0.2499
Mg2 0.7500 0.7567 0.2501
Mg3 0.7500 0.7433 0.7501
Mg4 0.2500 0.2433 0.7499
Sb1 0.2500 0.2504 0.0000
Sb2 0.7500 0.2542 0.1574
Sb3 0.2500 0.2496 0.5000
Sb4 0.2500 0.7458 0.8426
Sb5 0.2500 0.7542 0.3426
Sb6 0.7500 0.7496 0.0000
Sb7 0.7500 0.7504 0.5000
Sb8 0.7500 0.2458 0.6574
Tm1 0.2500 0.7476 0.6072
Tm2 0.7500 0.2476 0.8928
Tm3 0.2500 0.7524 0.1072
Tm4 0.7500 0.2524 0.3928

Computed properties:
Its symmetry is Pnma (62). The value obtained for the density of states at the Fermi level is 7.92 states/eV/cell.

***

(B)
Compound: TmMgSb2
Source: Alexandria
Functional: PBE
Structure: relaxed

abc: 4.3013 4.3013 7.4204
angles: 73.15 73.15 60.00
Atoms (fractional coordinates):
Sb1 0.7474 0.7474 0.7577
Sb2 0.2526 0.2526 0.2423
Tm1 0.5000 0.5000 0.5000
Mg1 0.0000 0.0000 0.0000

Computed properties:
Its symmetry is R-3m (166). The value obtained for the density of states at the Fermi level is 3.15 states/eV/cell.

***

Verdict on stability: (B) comes out at the bottom.

***

(A)
Compound: MgV2Sb
Source: Alexandria
Functional: PBE
Structure: relaxed

abc: 4.6347 4.6347 4.6347
angles: 60.00 60.00 60.00
Last column: magnetic moment on the atom in μB.
Atoms (fractional coordinates):
V1 0.7500 0.7500 0.7500  2.05
V2 0.2500 0.2500 0.2500  2.05
Mg1 0.0000 0.0000 0.0000  0.01
Sb1 0.5000 0.5000 0.5000  -0.04

Computed properties:
Its symmetry is Fm-3m (225). The value obtained for the density of states at the Fermi level is 5.00 states/eV/cell.

***

(B)
Compound: MgV2Sb
Source: Alexandria
Functional: PBE
Structure: relaxed

abc: 7.3163 7.3163 5.8789
angles: 51.52 51.52 90.00
Atoms (fractional coordinates):
V1 0.3750 0.3636 0.7500
V2 0.1136 0.6250 0.2500
V3 0.6364 0.1250 0.2500
V4 0.8750 0.8864 0.7500
Sb1 0.0000 0.0000 0.0000
Sb2 0.7500 0.2500 0.5000
Mg1 0.2500 0.7500 0.5000
Mg2 0.5000 0.5000 0.0000

Computed properties:
Its symmetry is I-42d (122). The value obtained for the density of states at the Fermi level is 8.26 states/eV/cell.

***

Verdict on stability: (B) comes out at the bottom.

***

(A)
Compound: MgSbW2
Source: Alexandria
Functional: PBE
Structure: relaxed

abc: 5.1299 5.1299 4.7858
angles: 69.82 69.82 38.79
Atoms (fractional coordinates):
W1 0.0195 0.0195 0.9950
W2 0.7294 0.7294 0.7544
Sb1 0.2596 0.2596 0.2309
Mg1 0.4915 0.4915 0.5197

Computed properties:
Its symmetry is Cm (8). The value obtained for the density of states at the Fermi level is 2.84 states/eV/cell.

***

(B)
Compound: MgSbW2
Source: Alexandria
Functional: PBE
Structure: relaxed

abc: 5.0808 5.0808 4.7504
angles: 82.19 82.19 37.00
Atoms (fractional coordinates):
W1 0.0008 0.0008 0.9713
W2 0.4992 0.4992 0.5287
Sb1 0.2500 0.2500 0.2500
Mg1 0.7500 0.7500 0.7500

Computed properties:
Its symmetry is C2/m (12). The value obtained for the density of states at the Fermi level is 1.85 states/eV/cell.

***

Verdict on stability: (B) comes out at the bottom.

***

(A)
Compound: MgSbW2
Source: Alexandria
Functional: PBE
Structure: relaxed

abc: 3.5143 3.5143 5.9452
angles: 90.00 90.00 90.00
Atoms (fractional coordinates):
Mg1 0.5000 0.5000 0.2500
W1 0.0000 0.0000 0.5280
W2 0.0000 0.0000 0.9720
Sb1 0.5000 0.5000 0.7500

Computed properties:
Its symmetry is P4/mmm (123). The value obtained for the density of states at the Fermi level is 3.28 states/eV/cell.

***

(B)
Compound: MgSbW2
Source: Alexandria
Functional: PBE
Structure: relaxed

abc: 2.8559 2.8559 9.0621
angles: 90.00 90.00 90.00
Atoms (fractional coordinates):
W1 0.0000 0.0000 0.0026
W2 0.0000 0.0000 0.4974
Sb1 0.5000 0.5000 0.7500
Mg1 0.5000 0.5000 0.2500

Computed properties:
Its symmetry is P4/mmm (123). The value obtained for the density of states at the Fermi level is 3.04 states/eV/cell.

***

(C)
Compound: MgSbW2
Source: Alexandria
Functional: PBE
Structure: relaxed

abc: 2.8368 4.5715 5.6300
angles: 90.00 90.00 90.00
Atoms (fractional coordinates):
W1 0.0000 0.0000 0.4837
W2 0.0000 0.0000 0.0163
Mg1 0.5000 0.5000 0.2500
Sb1 0.5000 0.5000 0.7500

Computed properties:
Its symmetry is Pmmm (47). The value obtained for the density of states at the Fermi level is 2.85 states/eV/cell.

***

Verdict on stability: (B) comes out at the bottom.

***

(A)
Compound: MgSbW2
Source: Alexandria
Functional: PBE
Structure: relaxed

abc: 5.3206 5.3206 5.3206
angles: 136.26 136.26 63.58
Atoms (fractional coordinates):
Mg1 0.2500 0.7500 0.5000
W1 0.0000 0.0000 0.0000
W2 0.5000 0.5000 0.0000
Sb1 0.7500 0.2500 0.5000

Computed properties:
Its symmetry is I4/mmm (139). The value obtained for the density of states at the Fermi level is 3.03 states/eV/cell.

***

(B)
Compound: MgSbW2
Source: Alexandria
Functional: PBE
Structure: relaxed

abc: 2.9170 2.9170 9.1091
angles: 90.00 90.00 108.86
Atoms (fractional coordinates):
Mg1 0.5000 0.5000 0.2500
Sb1 0.5000 0.5000 0.7500
W1 0.0000 0.0000 0.9935
W2 0.0000 0.0000 0.5065

Computed properties:
Its symmetry is Cmmm (65). The value obtained for the density of states at the Fermi level is 2.60 states/eV/cell.

***

(C)
Compound: MgSbW2
Source: Alexandria
Functional: PBE
Structure: relaxed

abc: 3.9746 3.9746 4.4912
angles: 90.00 90.00 90.00
Atoms (fractional coordinates):
W1 0.5000 0.5000 0.0000
W2 0.0000 0.0000 0.0000
Mg1 0.5000 0.0000 0.5000
Sb1 0.0000 0.5000 0.5000

Computed properties:
Its symmetry is P4/mmm (123). The value obtained for the density of states at the Fermi level is 3.35 states/eV/cell.

***

Verdict on stability: (B) comes out at the bottom.

***

(A)
Compound: MgSbW2
Source: Alexandria
Functional: PBE
Structure: relaxed

abc: 4.6297 4.6297 4.6297
angles: 60.00 60.00 60.00
Atoms (fractional coordinates):
W1 0.7500 0.7500 0.7500
W2 0.2500 0.2500 0.2500
Mg1 0.0000 0.0000 0.0000
Sb1 0.5000 0.5000 0.5000

Computed properties:
Its symmetry is Fm-3m (225). The value obtained for the density of states at the Fermi level is 3.56 states/eV/cell.

***

(B)
Compound: MgSbW2
Source: Alexandria
Functional: PBE
Structure: relaxed

abc: 9.3436 9.3436 9.3436
angles: 18.75 18.75 18.75
Atoms (fractional coordinates):
W1 0.9964 0.9964 0.9964
W2 0.5036 0.5036 0.5036
Mg1 0.7500 0.7500 0.7500
Sb1 0.2500 0.2500 0.2500

Computed properties:
Its symmetry is R-3m (166). The value obtained for the density of states at the Fermi level is 3.08 states/eV/cell.

***

(C)
Compound: MgSbW2
Source: Alexandria
Functional: PBE
Structure: relaxed

abc: 2.9616 2.9616 9.6853
angles: 90.00 90.00 112.67
Atoms (fractional coordinates):
W1 0.5000 0.5000 0.2315
W2 0.0000 0.0000 0.0239
Mg1 0.0000 0.0000 0.4716
Sb1 0.5000 0.5000 0.7730

Computed properties:
Its symmetry is Cmm2 (35). The value obtained for the density of states at the Fermi level is 1.94 states/eV/cell.

***

(D)
Compound: MgSbW2
Source: Alexandria
Functional: PBE
Structure: relaxed

abc: 3.3723 3.3753 7.2308
angles: 62.20 90.00 90.00
Atoms (fractional coordinates):
Mg1 0.0000 0.5174 0.4819
W1 0.0000 0.9815 0.0195
W2 0.5000 0.2647 0.2347
Sb1 0.5000 0.7364 0.7638

Computed properties:
Its symmetry is Pm (6). The value obtained for the density of states at the Fermi level is 2.17 states/eV/cell.

***

Verdict on stability: (A) comes out at the bottom.

***

(A)
Compound: MgSbW2
Source: Alexandria
Functional: PBE
Structure: relaxed

abc: 5.2130 5.2130 5.2130
angles: 138.48 128.42 68.28
Atoms (fractional coordinates):
Sb1 0.2420 0.7420 0.5000
W1 0.9827 0.9827 0.0000
W2 0.7683 0.2683 0.5000
Mg1 0.5070 0.5070 0.0000

Computed properties:
Its symmetry is Imm2 (44). The value obtained for the density of states at the Fermi level is 2.74 states/eV/cell.

***

(B)
Compound: MgSbW2
Source: Alexandria
Functional: PBE
Structure: relaxed

abc: 4.6361 4.6361 4.6361
angles: 60.00 60.00 60.00
Atoms (fractional coordinates):
Mg1 0.5000 0.5000 0.5000
W1 0.2500 0.2500 0.2500
W2 0.0000 0.0000 0.0000
Sb1 0.7500 0.7500 0.7500

Computed properties:
Its symmetry is F-43m (216). The value obtained for the density of states at the Fermi level is 2.96 states/eV/cell.

***

Verdict on stability: (B) comes out at the bottom.

***

(A)
Compound: Mg3SbW
Source: Alexandria
Functional: PBE
Structure: relaxed

abc: 5.2252 5.2252 5.2252
angles: 90.00 90.00 90.00
Last column: magnetic moment on the atom in μB.
Atoms (fractional coordinates):
Mg1 0.0000 0.0000 0.5000  0.00
Mg2 0.0000 0.5000 0.0000  0.01
Mg3 0.5000 0.0000 0.0000  0.00
Sb1 0.5000 0.5000 0.5000  -0.10
W1 0.0000 0.0000 0.0000  1.23

Computed properties:
Its symmetry is Pm-3m (221). The value obtained for the density of states at the Fermi level is 4.97 states/eV/cell.

***

(B)
Compound: Mg3SbW
Source: Alexandria
Functional: PBE
Structure: relaxed

abc: 5.2740 5.2740 5.2740
angles: 90.00 90.00 90.00
Last column: magnetic moment on the atom in μB.
Atoms (fractional coordinates):
Mg1 0.0000 0.5000 0.0000  -0.02
Mg2 0.0000 0.0000 0.5000  -0.04
Mg3 0.5000 0.0000 0.0000  -0.01
Sb1 0.0000 0.0000 0.0000  0.01
W1 0.5000 0.5000 0.5000  2.92

Computed properties:
Its symmetry is Pm-3m (221). The value obtained for the density of states at the Fermi level is 2.76 states/eV/cell.

***

Verdict on stability: (B) comes out at the bottom.